[1]
Below is a relaxed structure of CsAu, with properties calculated at the PBE level.

Cell lengths 10.5585, 10.5585, 10.5585 Å; angles 90.00, 90.00, 90.00 degrees
Fractional positions:
Cs (0.2032, 0.2032, 0.2032)
Cs (0.2032, 0.7968, 0.7968)
Cs (0.7968, 0.2032, 0.7968)
Cs (0.7968, 0.7968, 0.2032)
Cs (0.7032, 0.7032, 0.7032)
Cs (0.7032, 0.2968, 0.2968)
Cs (0.2968, 0.7032, 0.2968)
Cs (0.2968, 0.2968, 0.7032)
Au (0.3994, 0.3994, 0.3994)
Au (0.3994, 0.6006, 0.6006)
Au (0.6006, 0.3994, 0.6006)
Au (0.6006, 0.6006, 0.3994)
Au (0.8994, 0.8994, 0.8994)
Au (0.8994, 0.1006, 0.1006)
Au (0.1006, 0.8994, 0.1006)
Au (0.1006, 0.1006, 0.8994)

Calculated values
The formation energy is -18.1 kJ per mole of atoms. The size of the total moment is 0.00 Bohr magnetons per cell. The total energy comes out at -2.253 eV per atom.

***

[2]
Below is a relaxed structure of La9TbSn2, with properties calculated at the PBE level.

Cell lengths 5.0694, 5.0694, 15.4849 Å; angles 90.00, 90.00, 90.00 degrees
Fractional positions:
La (0.5000, 0.5000, 0.0000)
La (0.5000, 0.5000, 0.3381)
La (0.5000, 0.5000, 0.6619)
La (0.5000, 0.0000, 0.1744)
La (0.5000, 0.0000, 0.5000)
La (0.5000, 0.0000, 0.8256)
La (0.0000, 0.5000, 0.1744)
La (0.0000, 0.5000, 0.5000)
La (0.0000, 0.5000, 0.8256)
Tb (0.0000, 0.0000, 0.0000)
Sn (0.0000, 0.0000, 0.3376)
Sn (0.0000, 0.0000, 0.6624)

Calculated values
The formation energy is -29.3 kJ per mole of atoms. The size of the total moment is 0.00 Bohr magnetons per cell. The total energy comes out at -5.052 eV per atom.

***

[3]
Below is a relaxed structure of Y2ZrO2, with properties calculated at the PBE level.

Cell lengths 8.1099, 8.1099, 2.9919 Å; angles 90.00, 90.00, 90.00 degrees
Site moments in Bohr magnetons follow the coordinates.
Fractional positions:
Y (0.3715, 0.8715, 0.0000)  0.18
Y (0.8715, 0.6285, 0.0000)  0.18
Y (0.6285, 0.1285, 0.0000)  0.18
Y (0.1285, 0.3715, 0.0000)  0.18
O (0.1054, 0.6054, 0.5000)  0.02
O (0.6054, 0.8946, 0.5000)  0.02
O (0.8946, 0.3946, 0.5000)  0.02
O (0.3946, 0.1054, 0.5000)  0.02
Zr (0.0000, 0.0000, 0.0000)  0.99
Zr (0.5000, 0.5000, 0.0000)  0.99

Calculated values
The energy relative to the elements, uncorrected is -835 meV per atom. The size of the total moment is 4.33 Bohr magnetons per cell. The total energy comes out at -7.113 eV per atom.

***

[4]
Below is a relaxed structure of CaRh2Pb, with properties calculated at the PBE level.

Cell lengths 7.4481, 7.4481, 6.1279 Å; angles 52.58, 52.58, 90.00 degrees
Fractional positions:
Pb (0.0000, 0.0000, 0.0000)
Pb (0.7500, 0.2500, 0.5000)
Ca (0.5000, 0.5000, 0.0000)
Ca (0.2500, 0.7500, 0.5000)
Rh (0.6477, 0.1250, 0.2500)
Rh (0.1023, 0.6250, 0.2500)
Rh (0.3750, 0.3523, 0.7500)
Rh (0.8750, 0.8977, 0.7500)

Calculated values
The formation energy is 10.6 kJ per mole of atoms. The size of the total moment is 0.00 Bohr magnetons per cell. The total energy comes out at -4.993 eV per atom.

***

[5]
Below is a relaxed structure of KSr2Sn6, with properties calculated at the PBE level.

Cell lengths 4.5168, 8.9395, 8.9395 Å; angles 76.21, 75.37, 75.37 degrees
Fractional positions:
K (0.0000, 0.0000, 0.0000)
Sr (0.8503, 0.6497, 0.6497)
Sr (0.1497, 0.3503, 0.3503)
Sn (0.6812, 0.0303, 0.6074)
Sn (0.3188, 0.9697, 0.3926)
Sn (0.3188, 0.3926, 0.9697)
Sn (0.5000, 0.6468, 0.3532)
Sn (0.5000, 0.3532, 0.6468)
Sn (0.6812, 0.6074, 0.0303)

Calculated values
The formation energy is -29.5 kJ per mole of atoms. The size of the total moment is 0.00 Bohr magnetons per cell. The total energy comes out at -3.470 eV per atom.

***

[6]
Below is a relaxed structure of Na2NdSc3Se6, with properties calculated at the PBE level.

Cell lengths 6.8864, 6.8864, 7.1485 Å; angles 99.25, 99.25, 119.98 degrees
Fractional positions:
Na (0.3332, 0.6668, 0.0000)
Na (0.6668, 0.3332, 0.0000)
Nd (0.0000, 0.0000, 0.0000)
Sc (0.1669, 0.8331, 0.5000)
Sc (0.8331, 0.1669, 0.5000)
Sc (0.5000, 0.5000, 0.5000)
Se (0.9091, 0.5738, 0.7275)
Se (0.7561, 0.7561, 0.2738)
Se (0.0909, 0.4262, 0.2725)
Se (0.5738, 0.9091, 0.7275)
Se (0.2439, 0.2439, 0.7262)
Se (0.4262, 0.0909, 0.2725)

Calculated values
The energy relative to the elements, uncorrected is -1625 meV per atom. The size of the total moment is 0.00 Bohr magnetons per cell. The total energy comes out at -5.568 eV per atom.

***

[7]
Below is a relaxed structure of RbV2S4, with properties calculated at the PBE level.

Cell lengths 3.6398, 6.4608, 12.4855 Å; angles 90.00, 90.00, 106.36 degrees
Site moments in Bohr magnetons follow the coordinates.
Fractional positions:
Rb (0.6070, 0.2140, 0.7500)  -0.01
Rb (0.3930, 0.7860, 0.2500)  -0.01
V (0.1338, 0.2676, 0.4294)  1.62
V (0.8662, 0.7324, 0.9294)  1.62
V (0.1338, 0.2676, 0.0706)  1.62
V (0.8662, 0.7324, 0.5706)  1.62
S (0.7559, 0.5118, 0.0922)  -0.13
S (0.7559, 0.5118, 0.4078)  -0.13
S (0.2441, 0.4882, 0.9078)  -0.13
S (0.2441, 0.4882, 0.5922)  -0.13
S (0.8998, 0.7995, 0.7500)  -0.18
S (0.1002, 0.2005, 0.2500)  -0.18
S (0.5000, 0.0000, 0.0000)  -0.06
S (0.5000, 0.0000, 0.5000)  -0.06

Calculated values
The energy relative to the elements, uncorrected is -830 meV per atom. The size of the total moment is 6.00 Bohr magnetons per cell. The total energy comes out at -5.932 eV per atom.

***

[8]
Below is a relaxed structure of CeLuPu2, with properties calculated at the PBE level.

Cell lengths 3.3699, 3.3699, 11.0829 Å; angles 81.26, 81.26, 60.00 degrees
Site moments in Bohr magnetons follow the coordinates.
Fractional positions:
Lu (0.5000, 0.5000, 0.5000)  -0.14
Ce (0.0000, 0.0000, 0.0000)  0.19
Pu (0.7471, 0.7471, 0.7586)  -5.33
Pu (0.2529, 0.2529, 0.2414)  -5.33

Calculated values
The formation energy is 15.9 kJ per mole of atoms. The size of the total moment is 11.19 Bohr magnetons per cell. The total energy comes out at -9.614 eV per atom.

***

[9]
Below is a relaxed structure of TaSb2Cl, with properties calculated at the PBE level.

Cell lengths 8.8126, 8.8126, 8.8126 Å; angles 23.44, 23.44, 23.44 degrees
Fractional positions:
Cl (0.7500, 0.7500, 0.7500)
Sb (0.9916, 0.9916, 0.9916)
Sb (0.5084, 0.5084, 0.5084)
Ta (0.2500, 0.2500, 0.2500)

Calculated values
The energy relative to the elements, uncorrected is -12 meV per atom. The size of the total moment is 0.00 Bohr magnetons per cell. The total energy comes out at -5.498 eV per atom.

***

[10]
Below is a relaxed structure of AlSiTe2, with properties calculated at the PBE level.

Cell lengths 5.0844, 5.0844, 5.0844 Å; angles 60.00, 60.00, 60.00 degrees
Fractional positions:
Si (0.7500, 0.7500, 0.7500)
Te (0.0000, 0.0000, 0.0000)
Te (0.2500, 0.2500, 0.2500)
Al (0.5000, 0.5000, 0.5000)

Calculated values
The energy relative to the elements, uncorrected is 538 meV per atom. The size of the total moment is 0.00 Bohr magnetons per cell. The total energy comes out at -3.324 eV per atom.

***

[11]
Below is a relaxed structure of Zr2AgAu2, with properties calculated at the PBE level.

Cell lengths 7.6006, 7.6006, 3.5447 Å; angles 90.00, 90.00, 90.00 degrees
Fractional positions:
Au (0.3686, 0.8686, 0.0000)
Au (0.8686, 0.6314, 0.0000)
Au (0.6314, 0.1314, 0.0000)
Au (0.1314, 0.3686, 0.0000)
Zr (0.1701, 0.6701, 0.5000)
Zr (0.6701, 0.8299, 0.5000)
Zr (0.8299, 0.3299, 0.5000)
Zr (0.3299, 0.1701, 0.5000)
Ag (0.0000, 0.0000, 0.0000)
Ag (0.5000, 0.5000, 0.0000)

Calculated values
The formation energy is -34.1 kJ per mole of atoms. The size of the total moment is 0.00 Bohr magnetons per cell. The total energy comes out at -5.654 eV per atom.

***

[12]
Below is a relaxed structure of AcNdSmMg, with properties calculated at the PBE level.

Cell lengths 5.7897, 5.7897, 5.7897 Å; angles 60.00, 60.00, 60.00 degrees
Fractional positions:
Ac (0.5000, 0.5000, 0.5000)
Nd (0.7500, 0.7500, 0.7500)
Mg (0.0000, 0.0000, 0.0000)
Sm (0.2500, 0.2500, 0.2500)

Calculated values
The formation energy is 9.4 kJ per mole of atoms. The size of the total moment is 0.00 Bohr magnetons per cell. The total energy comes out at -3.700 eV per atom.

***

[13]
Below is a relaxed structure of PmTm8Mg2, with properties calculated at the PBE level.

Cell lengths 5.5774, 8.6434, 8.7762 Å; angles 60.50, 78.01, 65.04 degrees
Fractional positions:
Pm (0.5000, 0.0000, 0.0000)
Tm (0.8700, 0.0977, 0.2235)
Tm (0.8700, 0.3212, 0.7765)
Tm (0.2973, 0.4078, 0.0000)
Tm (0.5000, 0.7849, 0.4302)
Tm (0.5000, 0.2151, 0.5698)
Tm (0.7027, 0.5922, 0.0000)
Tm (0.1300, 0.6788, 0.2235)
Tm (0.1300, 0.9023, 0.7765)
Mg (0.0000, 0.3070, 0.3859)
Mg (0.0000, 0.6930, 0.6141)

Calculated values
The formation energy is 15.6 kJ per mole of atoms. The size of the total moment is 0.00 Bohr magnetons per cell. The total energy comes out at -3.812 eV per atom.